Below is a geometry-optimized Y2NiAuSe structure, with properties calculated at the PBEsol level.

Results
* uncorrected formation energy: -11.04 kcal/mol of atoms
* calculated density: 7.27 g/cm³
* final energy: -29.970 eV per cell
* total magnetic moment: 0.000 μB per formula unit
* SG: P4/mmm (123)

Cell: 4.1935 5.2816 5.2816 Å, 90.00 90.00 90.00°
Atoms (fractional coordinates):
Y 0.0000 0.0000 0.5000
Y 0.0000 0.5000 0.0000
Ni 0.5000 0.0000 0.0000
Au 0.5000 0.5000 0.5000
Se 0.0000 0.0000 0.0000


Below is a geometry-optimized Zn2SiAg structure, with properties calculated at the PBEsol level.

Results
* uncorrected formation energy: 4.44 kcal/mol of atoms
* calculated density: 7.12 g/cm³
* final energy: -11.452 eV per cell
* total magnetic moment: 0.000 μB per formula unit
* SG: Pmmm (47)

Cell: 2.6826 4.6881 4.9476 Å, 90.00 90.00 90.00°
Atoms (fractional coordinates):
Ag 0.5000 0.5000 0.0000
Si 0.0000 0.5000 0.5000
Zn 0.0000 0.0000 0.0000
Zn 0.5000 0.0000 0.5000